Record 1
# AcSnBiSb

AcSnBiSb after structural relaxation (GGA-PBE, the Alexandria database).

a b c (Å): 8.0353 8.0353 8.0353
angles (deg): 90.00 90.00 90.00
With the nearest neighbours (Å) after each atom.
Space group F-43m (No. 216)
Inequivalent atoms, fractional coordinates:
Ac 0.0000 0.0000 0.0000 (multiplicity 4)  4 Sn 3.48, 4 Bi 3.48
Sn 0.2500 0.2500 0.2500 (multiplicity 4)  4 Ac 3.48, 4 Sb 3.48
Bi 0.2500 0.2500 0.7500 (multiplicity 4)  4 Ac 3.48, 4 Sb 3.48
Sb 0.0000 0.0000 0.5000 (multiplicity 4)  4 Bi 3.48, 4 Sn 3.48

## Properties
**Crystal system**: cubic
**E_tot**: -4.26 eV/atom
**Raw formation energy**: -0.9 eV per formula unit
**ρ**: 8.7 g/cm³

***

Record 2
# Ac4SnBi2Sb

Ac4SnBi2Sb after structural relaxation (GGA-PBE, the Alexandria database).

a b c (Å): 8.3865 4.8263 8.4244
angles (deg): 90.00 109.28 90.00
With the nearest neighbours (Å) after each atom.
Space group P2/m (No. 10)
Inequivalent atoms, fractional coordinates:
Ac 0.2445 0.0000 0.2481 (multiplicity 2)  2 Sb 3.40, 1 Sn 3.40, 3 Bi 3.45
Ac 0.2458 0.5000 0.7495 (multiplicity 2)  1 Sb 3.40, 2 Sn 3.41, 3 Bi 3.44-3.45
Sn 0.0000 0.0000 0.5000 (multiplicity 1)  6 Ac 3.40-3.41
Bi 0.5000 0.0000 0.0000 (multiplicity 1)  6 Ac 3.44-3.45
Bi 0.5000 0.5000 0.5000 (multiplicity 1)  6 Ac 3.45
Sb 0.0000 0.5000 0.0000 (multiplicity 1)  6 Ac 3.40

## Properties
**Crystal system**: monoclinic
**E_tot**: -4.96 eV/atom
**Raw formation energy**: -7.4 eV per formula unit
**ρ**: 8.1 g/cm³

***

Record 3
# SrAcBiSb

SrAcBiSb after structural relaxation (GGA-PBE, the Alexandria database).

a b c (Å): 8.2587 8.2587 8.2587
angles (deg): 90.00 90.00 90.00
With the nearest neighbours (Å) after each atom.
Space group F-43m (No. 216)
Inequivalent atoms, fractional coordinates:
Sr 0.0000 0.0000 0.0000 (multiplicity 4)  4 Sb 3.58, 4 Bi 3.58
Ac 0.0000 0.0000 0.5000 (multiplicity 4)  4 Bi 3.58, 4 Sb 3.58
Bi 0.2500 0.2500 0.7500 (multiplicity 4)  4 Ac 3.58, 4 Sr 3.58
Sb 0.2500 0.2500 0.2500 (multiplicity 4)  4 Ac 3.58, 4 Sr 3.58

## Properties
**Crystal system**: cubic
**E_tot**: -4.27 eV/atom
**Raw formation energy**: -3.3 eV per formula unit
**ρ**: 7.6 g/cm³